First-principles (PBE) data for TlBN3 after structural relaxation, as listed in the Alexandria database.

Properties
formation energy (no corrections): 1.829 eV/atom
space group: Pm-3m, No. 221
DFT total energy: -4.97 eV/atom

Cell lengths 3.5694, 3.5694, 3.5694 Å; angles 90.00, 90.00, 90.00 degrees
Last column: nearest neighbours and their distance in Å.
Atoms (fractional coordinates):
Tl: 0.5000 0.5000 0.5000  12 N 2.52
B: 0.0000 0.0000 0.0000  6 N 1.78
N: 0.0000 0.5000 0.0000  2 B 1.78
N: 0.0000 0.0000 0.5000  2 B 1.78
N: 0.5000 0.0000 0.0000  2 B 1.78